This record from the Alexandria database describes a geometry-optimized Cs3GaO3 structure. The functional is PBEsol.

SG: C2/m, No. 12
Energy relative to the elements, uncorrected (eV/atom): -1.568
Energy above the lowest structure with this stoichiometry (meV per atom): 1
VASP energy (eV per atom): -4.6985

Lattice parameters (Å, degrees): 7.1002 7.1002 7.1977 98.23 98.23 114.88
Atoms (fractional coordinates):
Cs1 0.6288 0.6288 0.3387
Cs2 0.2024 0.7976 0.5000
Cs3 0.7976 0.2024 0.5000
Cs4 0.2586 0.7414 0.0000
Cs5 0.7414 0.2586 0.0000
Cs6 0.3712 0.3712 0.6613
Ga1 0.8428 0.8428 0.8487
Ga2 0.1572 0.1572 0.1513
O1 0.8990 0.8990 0.1278
O2 0.8524 0.5985 0.7308
O3 0.5985 0.8524 0.7308
O4 0.4015 0.1476 0.2692
O5 0.1476 0.4015 0.2692
O6 0.1010 0.1010 0.8722



This record from the Alexandria database describes a geometry-optimized In2AgIr structure. The functional is PBEsol.

SG: I-4m2, No. 119
Formation enthalpy at 0 K (eV per atom): -0.0042
VASP energy (eV per atom): -4.7792

Lattice parameters (Å, degrees): 3.9756 3.9738 5.2580 112.20 112.21 90.00
Atoms (fractional coordinates):
Ir1 0.5000 0.5000 0.0000
Ag1 0.7500 0.2500 0.4999
In1 0.0000 0.0000 0.0000
In2 0.2501 0.7501 0.5001



This record from the Alexandria database describes a geometry-optimized CaNi3 structure. The functional is PBEsol.

SG: R-3m, No. 166
Formation enthalpy at 0 K (eV per atom): -0.0558
VASP energy (eV per atom): -5.2073

Lattice parameters (Å, degrees): 3.9750 3.9750 5.2444 67.73 67.73 60.00
Atoms (fractional coordinates):
Ni1 0.5000 0.5000 0.5000
Ni2 0.1892 0.1892 0.4324
Ni3 0.8108 0.8108 0.5676
Ca1 0.0000 0.0000 0.0000



This record from the Alexandria database describes a geometry-optimized CaMnPS2 structure. The functional is PBEsol.

SG: P4/mmm, No. 123
Energy relative to the elements, uncorrected (eV/atom): -0.602
VASP energy (eV per atom): -5.8929

Lattice parameters (Å, degrees): 4.2841 4.6956 4.6956 90.00 90.00 90.00
Atoms (fractional coordinates):
P1 0.5000 0.0000 0.0000
Ca1 0.5000 0.5000 0.5000
Mn1 0.0000 0.0000 0.0000
S1 0.0000 0.0000 0.5000
S2 0.0000 0.5000 0.0000



This record from the Alexandria database describes a geometry-optimized MgSc2Nb structure. The functional is PBEsol.

SG: R-3m, No. 166
Formation enthalpy at 0 K (eV per atom): 0.4017
VASP energy (eV per atom): -6.0355

Lattice parameters (Å, degrees): 3.0047 3.0047 11.0890 82.21 82.21 60.00
Atoms (fractional coordinates):
Sc1 0.9155 0.9155 0.2534
Sc2 0.0845 0.0845 0.7466
Nb1 0.0000 0.0000 0.0000
Mg1 0.5000 0.5000 0.5000



This record from the Alexandria database describes a geometry-optimized LiMo2Br structure. The functional is PBEsol.

SG: P4/mmm, No. 123
Energy relative to the elements, uncorrected (eV/atom): 0.603
Energy above the lowest structure with this stoichiometry (meV per atom): 365
VASP energy (eV per atom): -6.2406

Lattice parameters (Å, degrees): 3.5490 3.5490 5.4518 90.00 90.00 90.00
Atoms (fractional coordinates):
Br1 0.5000 0.5000 0.5000
Li1 0.0000 0.0000 0.5000
Mo1 0.0000 0.5000 0.0000
Mo2 0.5000 0.0000 0.0000



This record from the Alexandria database describes a geometry-optimized BaY2F8 structure. The functional is PBEsol.

SG: P4/mmm, No. 123
Energy relative to the elements, uncorrected (eV/atom): -4.043
Energy above the lowest structure with this stoichiometry (meV per atom): 86
VASP energy (eV per atom): -6.8803

Lattice parameters (Å, degrees): 5.3599 5.3599 6.2693 90.00 90.00 90.00
Atoms (fractional coordinates):
Ba1 0.5000 0.5000 0.5000
Y1 0.5000 0.0000 0.0000
Y2 0.0000 0.5000 0.0000
F1 0.7471 0.7471 0.2007
F2 0.7471 0.2529 0.7993
F3 0.7471 0.7471 0.7993
F4 0.7471 0.2529 0.2007
F5 0.2529 0.7471 0.2007
F6 0.2529 0.7471 0.7993
F7 0.2529 0.2529 0.2007
F8 0.2529 0.2529 0.7993



This record from the Alexandria database describes a geometry-optimized Te2RhPb structure. The functional is PBEsol.

SG: I-4m2, No. 119
Energy relative to the elements, uncorrected (eV/atom): 0.324
VASP energy (eV per atom): -4.4735

Lattice parameters (Å, degrees): 4.4377 4.4377 5.7055 112.89 112.89 90.00
Atoms (fractional coordinates):
Pb1 0.5000 0.5000 0.0000
Rh1 0.2500 0.7500 0.5000
Te1 0.0000 0.0000 0.0000
Te2 0.7500 0.2500 0.5000



In states/eV per cell, the DOS at the Fermi energy values for the records above are, in order, 0.0, 1.0, 3.5, 1.8, 6.6, 2.9, 0.0, 2.7.